VASP calculation (PBE) on crystalline TmGePd2 at its relaxed geometry.

Properties
- size of the total moment (Bohr magnetons per cell) = 0.0
- symmetry = Pmc2_1 (26)
- total DFT energy (no corrections) (eV/atom) = -5.516

abc: 3.839 6.409 6.236
angles: 90.00 90.00 90.00
Fractional positions:
Tm  0.000  0.165  0.000
Tm  0.000  0.835  0.500
Ge  0.500  0.335  0.352
Ge  0.500  0.665  0.852
Pd  0.000  0.432  0.641
Pd  0.000  0.568  0.141
Pd  0.500  0.086  0.680
Pd  0.500  0.914  0.180

=====

VASP calculation (PBE) on crystalline Zr3Bi2As2Pt4 at its relaxed geometry.

Properties
- size of the total moment (Bohr magnetons per cell) = 0.0
- symmetry = I-42m (121)
- total DFT energy (no corrections) (eV/atom) = -6.838

abc: 7.847 7.847 7.847
angles: 132.53 132.53 69.39
Fractional positions:
Zr  0.000  0.000  0.000
Zr  0.250  0.750  0.500
Zr  0.750  0.250  0.500
Bi  0.000  0.500  0.500
Bi  0.500  0.000  0.500
As  0.260  0.260  0.000
As  0.740  0.740  0.000
Pt  0.098  0.098  0.470
Pt  0.372  0.902  0.000
Pt  0.628  0.628  0.530
Pt  0.902  0.372  0.000

=====

VASP calculation (PBE) on crystalline CuH6C10I2Br2N2Cl2 at its relaxed geometry.

Properties
- symmetry = C2/c (15)
- total DFT energy (no corrections) (eV/atom) = -5.705

abc: 7.911 7.911 15.028
angles: 90.74 90.74 116.26
Fractional positions:
Cu  0.209  0.791  0.750
Cu  0.791  0.209  0.250
H  0.026  0.231  0.405
H  0.231  0.026  0.905
H  0.260  0.716  0.136
H  0.278  0.477  0.031
H  0.284  0.740  0.364
H  0.477  0.278  0.531
H  0.523  0.722  0.469
H  0.716  0.260  0.636
H  0.722  0.523  0.969
H  0.740  0.284  0.864
H  0.769  0.974  0.095
H  0.974  0.769  0.595
C  0.094  0.762  0.563
C  0.111  0.759  0.471
C  0.238  0.906  0.937
C  0.241  0.889  0.029
C  0.257  0.735  0.064
C  0.258  0.625  0.915
C  0.265  0.743  0.436
C  0.267  0.601  0.006
C  0.375  0.742  0.585
C  0.399  0.733  0.494
C  0.601  0.267  0.506
C  0.625  0.258  0.415
C  0.733  0.399  0.994
C  0.735  0.257  0.564
C  0.742  0.375  0.085
C  0.743  0.265  0.936
C  0.759  0.111  0.971
C  0.762  0.094  0.063
C  0.889  0.241  0.529
C  0.906  0.238  0.437
I  0.091  0.211  0.612
I  0.211  0.091  0.112
I  0.789  0.909  0.888
I  0.909  0.789  0.388
Br  0.131  0.406  0.243
Br  0.406  0.131  0.743
Br  0.594  0.869  0.257
Br  0.869  0.594  0.757
N  0.225  0.755  0.620
N  0.245  0.775  0.880
N  0.755  0.225  0.120
N  0.775  0.245  0.380
Cl  0.265  0.460  0.842
Cl  0.460  0.265  0.342
Cl  0.540  0.735  0.658
Cl  0.735  0.540  0.158

=====

VASP calculation (PBE) on crystalline Zr3CdAs at its relaxed geometry.

Properties
- size of the total moment (Bohr magnetons per cell) = 0.0
- symmetry = Cmcm (63)
- total DFT energy (no corrections) (eV/atom) = -6.643

abc: 6.203 6.203 10.179
angles: 90.00 90.00 145.04
Fractional positions:
Zr  0.043  0.957  0.750
Zr  0.351  0.649  0.555
Zr  0.351  0.649  0.945
Zr  0.649  0.351  0.055
Zr  0.649  0.351  0.445
Zr  0.957  0.043  0.250
Cd  0.256  0.744  0.250
Cd  0.744  0.256  0.750
As  0.000  0.000  0.000
As  0.000  0.000  0.500

=====

Q: What is the total DFT energy (no corrections) in the fourth record?
A: -6.643 eV/atom

=====

Q: Among the records above, which one has the lowest total DFT energy (no corrections)?
A: Zr3Bi2As2Pt4